# Sr4TaBr, optimized geometry, DFT PBE
# - Density of states at the Fermi level: 27.36 states/eV per cell
# - M_tot: 0.724 μB/atom
# - Formation energy without anion corrections: 5.1 eV per formula unit
data_Sr4TaBr
_symmetry_space_group_name_H-M 'F -4 3 m'
_symmetry_Int_Tables_number 216
_symmetry_space_group_name_Hall 'F -4 2 3'
_cell_length_a 10.068
_cell_length_b 10.068
_cell_length_c 10.068
_cell_angle_alpha 90.00
_cell_angle_beta 90.00
_cell_angle_gamma 90.00
loop_
_atom_site_label
_atom_site_type_symbol
_atom_site_fract_x
_atom_site_fract_y
_atom_site_fract_z
Sr1 Sr 0.124 0.124 0.124
Ta1 Ta 0.250 0.250 0.750
Br1 Br 0.000 0.000 0.500